[1]
Below is a geometry-optimized Mg5Ir structure, with properties calculated at the PBE-GGA level.

Excess energy over the best structure of this formula in the dataset ... 0.55 kcal/mol of atoms
Formation energy from the elements ... -146 meV per atom
DOS at the Fermi energy ... 3.43 states/eV/cell
Total moment ... 0.000 μB per cell

Cell: 5.260 5.260 4.718 Å, 90.00 90.00 120.00°
Positions (direct):
1 Mg 0.000 0.692 0.000
2 Mg 0.308 0.308 0.000
3 Mg 0.333 0.667 0.500
4 Mg 0.667 0.333 0.500
5 Mg 0.692 0.000 0.000
6 Ir 0.000 0.000 0.500

[2]
Below is a geometry-optimized SmZnCdPb structure, with properties calculated at the PBE-GGA level.

Formation energy from the elements ... -142 meV per atom
DOS at the Fermi energy ... 3.02 states/eV/cell
Total moment ... 0.000 μB per cell

Cell: 5.225 5.225 5.225 Å, 60.00 60.00 60.00°
Positions (direct):
1 Sm 0.000 0.000 0.000
2 Zn 0.750 0.750 0.750
3 Cd 0.250 0.250 0.250
4 Pb 0.500 0.500 0.500

[3]
Below is a geometry-optimized Hf6Fe5Ru structure, with properties calculated at the PBE-GGA level.

Formation energy from the elements ... -398 meV per atom
DOS at the Fermi energy ... 4.54 states/eV/cell
Total moment ... 0.201 μB per cell

Cell: 7.730 7.730 7.730 Å, 146.39 131.87 59.98°
Positions (direct):
1 Hf 0.079 0.331 0.748
2 Hf 0.246 0.000 0.246
3 Hf 0.416 0.669 0.748
4 Hf 0.584 0.331 0.252
5 Hf 0.754 0.000 0.754
6 Hf 0.921 0.669 0.252
7 Fe 0.000 0.500 0.500
8 Fe 0.167 0.167 0.000
9 Fe 0.333 0.833 0.500
10 Fe 0.667 0.167 0.500
11 Fe 0.833 0.833 0.000
12 Ru 0.500 0.500 0.000

[4]
Below is a geometry-optimized PrGdLuIn structure, with properties calculated at the PBE-GGA level.

Formation energy from the elements ... -173 meV per atom
DOS at the Fermi energy ... 4.82 states/eV/cell
Total moment ... 8.146 μB per cell

Cell: 5.506 5.506 5.506 Å, 60.00 60.00 60.00°
Positions (direct):
1 Pr 0.000 0.000 0.000
2 Gd 0.500 0.500 0.500
3 Lu 0.250 0.250 0.250
4 In 0.750 0.750 0.750

[5]
Below is a geometry-optimized Pr3Dy2Ho5 structure, with properties calculated at the PBE-GGA level.

Formation energy from the elements ... 190 meV per atom
DOS at the Fermi energy ... 34.49 states/eV/cell
Total moment ... 0.000 μB per cell

Cell: 9.677 9.677 9.397 Å, 108.30 108.30 112.88°
Positions (direct):
1 Pr 0.020 0.269 0.045
2 Pr 0.235 0.765 0.750
3 Pr 0.269 0.020 0.545
4 Pr 0.731 0.980 0.455
5 Pr 0.765 0.235 0.250
6 Pr 0.980 0.731 0.955
7 Dy 0.232 0.466 0.454
8 Dy 0.466 0.232 0.954
9 Dy 0.534 0.768 0.046
10 Dy 0.768 0.534 0.546
11 Ho 0.027 0.973 0.750
12 Ho 0.149 0.372 0.769
13 Ho 0.273 0.727 0.250
14 Ho 0.372 0.149 0.269
15 Ho 0.470 0.530 0.250
16 Ho 0.530 0.470 0.750
17 Ho 0.628 0.851 0.731
18 Ho 0.727 0.273 0.750
19 Ho 0.851 0.628 0.231
20 Ho 0.973 0.027 0.250

[6]
Below is a geometry-optimized YTh3Au7 structure, with properties calculated at the PBE-GGA level.

Formation energy from the elements ... -622 meV per atom
DOS at the Fermi energy ... 18.39 states/eV/cell
Total moment ... 0.000 μB per cell

Cell: 11.084 11.084 12.899 Å, 90.00 90.00 159.97°
Positions (direct):
1 Y 0.014 0.986 0.750
2 Y 0.986 0.014 0.250
3 Th 0.136 0.864 0.056
4 Th 0.136 0.864 0.444
5 Th 0.216 0.784 0.750
6 Th 0.784 0.216 0.250
7 Th 0.864 0.136 0.556
8 Th 0.864 0.136 0.944
9 Au 0.275 0.725 0.070
10 Au 0.275 0.725 0.430
11 Au 0.372 0.628 0.750
12 Au 0.397 0.603 0.138
13 Au 0.397 0.603 0.362
14 Au 0.470 0.530 0.590
15 Au 0.470 0.530 0.910
16 Au 0.530 0.470 0.090
17 Au 0.530 0.470 0.410
18 Au 0.603 0.397 0.638
19 Au 0.603 0.397 0.862
20 Au 0.628 0.372 0.250
21 Au 0.725 0.275 0.570
22 Au 0.725 0.275 0.930

[7]
Below is a geometry-optimized Ce3Pm2Se8 structure, with properties calculated at the PBE-GGA level.

Formation energy from raw total energies ... -1.696 eV/atom
Excess energy over the best structure of this formula in the dataset ... 1.04 kcal/mol of atoms
DOS at the Fermi energy ... 12.16 states/eV/cell
Total moment ... 2.021 μB per cell

Cell: 8.761 8.761 5.015 Å, 90.00 90.00 109.39°
Positions (direct):
1 Ce 0.000 0.000 0.000
2 Ce 0.275 0.275 0.500
3 Ce 0.725 0.725 0.500
4 Pm 0.269 0.731 0.000
5 Pm 0.731 0.269 0.000
6 Se 0.115 0.362 0.000
7 Se 0.116 0.884 0.500
8 Se 0.362 0.115 0.000
9 Se 0.372 0.628 0.500
10 Se 0.628 0.372 0.500
11 Se 0.638 0.885 0.000
12 Se 0.884 0.116 0.500
13 Se 0.885 0.638 0.000

[8]
Below is a geometry-optimized Hg2MoAs structure, with properties calculated at the PBE-GGA level.

Formation energy from the elements ... 278 meV per atom
DOS at the Fermi energy ... 2.65 states/eV/cell
Total moment ... 0.000 μB per cell

Cell: 2.934 2.934 10.992 Å, 90.00 90.00 109.10°
Positions (direct):
1 Hg 0.000 0.000 0.000
2 Hg 0.500 0.500 0.290
3 Mo 0.000 0.000 0.512
4 As 0.500 0.500 0.681

[9]
Below is a geometry-optimized RbNpAuO5 structure, with properties calculated at the PBE-GGA level.

Formation energy from raw total energies ... -1.666 eV/atom
DOS at the Fermi energy ... 6.42 states/eV/cell
Total moment ... 0.000 μB per cell

Cell: 6.282 6.282 8.166 Å, 99.76 99.76 116.09°
Positions (direct):
1 Rb 0.183 0.817 0.750
2 Rb 0.817 0.183 0.250
3 Np 0.500 0.500 0.000
4 Np 0.500 0.500 0.500
5 Au 0.175 0.825 0.250
6 Au 0.825 0.175 0.750
7 O 0.157 0.221 0.925
8 O 0.221 0.157 0.425
9 O 0.281 0.637 0.423
10 O 0.363 0.719 0.077
11 O 0.447 0.553 0.750
12 O 0.553 0.447 0.250
13 O 0.637 0.281 0.923
14 O 0.719 0.363 0.577
15 O 0.779 0.843 0.575
16 O 0.843 0.779 0.075

[10]
Below is a geometry-optimized PmAg2Hg2 structure, with properties calculated at the PBE-GGA level.

Excess energy over the best structure of this formula in the dataset ... 2.54 kcal/mol of atoms
Formation energy from the elements ... -120 meV per atom
DOS at the Fermi energy ... 2.22 states/eV/cell
Total moment ... 0.000 μB per cell

Cell: 5.355 5.355 5.430 Å, 108.03 108.03 110.48°
Positions (direct):
1 Pm 0.000 0.000 0.000
2 Ag 0.366 0.366 0.705
3 Ag 0.634 0.634 0.295
4 Hg 0.242 0.758 0.500
5 Hg 0.758 0.242 0.500

[11]
Below is a geometry-optimized La3Nd8Sc structure, with properties calculated at the PBE-GGA level.

Formation energy from the elements ... 493 meV per atom
DOS at the Fermi energy ... 18.37 states/eV/cell
Total moment ... 0.001 μB per cell

Cell: 8.538 8.538 8.538 Å, 117.53 117.53 94.34°
Positions (direct):
1 La 0.000 0.000 0.000
2 La 0.250 0.750 0.500
3 La 0.750 0.250 0.500
4 Nd 0.133 0.380 0.000
5 Nd 0.243 0.243 0.521
6 Nd 0.279 0.757 0.000
7 Nd 0.380 0.133 0.000
8 Nd 0.620 0.620 0.753
9 Nd 0.721 0.721 0.479
10 Nd 0.757 0.279 0.000
11 Nd 0.867 0.867 0.247
12 Sc 0.500 0.500 0.000

[12]
Below is a geometry-optimized SrRu2O6 structure, with properties calculated at the PBE-GGA level.

Formation energy from raw total energies ... -1.281 eV/atom
Excess energy over the best structure of this formula in the dataset ... 3.32 kcal/mol of atoms
DOS at the Fermi energy ... 6.66 states/eV/cell
Total moment ... 0.586 μB per cell

Cell: 5.467 5.467 5.467 Å, 120.01 90.06 119.92°
Positions (direct):
1 Sr 0.000 0.000 0.000
2 Ru 0.247 0.498 0.750
3 Ru 0.748 0.498 0.250
4 O 0.023 0.500 0.026
5 O 0.023 0.997 0.523
6 O 0.474 0.500 0.477
7 O 0.474 0.997 0.974
8 O 0.545 0.545 0.000
9 O 0.942 0.442 0.500

[13]
Below is a geometry-optimized Dy2AlBPt6 structure, with properties calculated at the PBE-GGA level.

Formation energy from the elements ... -965 meV per atom
DOS at the Fermi energy ... 6.04 states/eV/cell
Total moment ... 0.000 μB per cell

Cell: 5.673 8.619 7.305 Å, 90.00 90.00 90.00°
Positions (direct):
1 Dy 0.250 0.035 0.211
2 Dy 0.250 0.465 0.211
3 Dy 0.750 0.535 0.789
4 Dy 0.750 0.965 0.789
5 Al 0.250 0.750 0.820
6 Al 0.750 0.250 0.180
7 B 0.250 0.250 0.691
8 B 0.750 0.750 0.309
9 Pt 0.001 0.250 0.906
10 Pt 0.009 0.750 0.517
11 Pt 0.250 0.005 0.647
12 Pt 0.250 0.495 0.647
13 Pt 0.491 0.750 0.517
14 Pt 0.499 0.250 0.906
15 Pt 0.501 0.750 0.094
16 Pt 0.509 0.250 0.483
17 Pt 0.750 0.505 0.353
18 Pt 0.750 0.995 0.353
19 Pt 0.991 0.250 0.483
20 Pt 0.999 0.750 0.094

[14]
Below is a geometry-optimized Ti2PdPt structure, with properties calculated at the PBE-GGA level.

Formation energy from the elements ... -727 meV per atom
DOS at the Fermi energy ... 4.67 states/eV/cell
Total moment ... 0.538 μB per cell

Cell: 4.793 4.793 2.838 Å, 90.00 90.00 107.48°
Positions (direct):
1 Ti 0.000 0.500 0.000
2 Ti 0.500 0.000 0.000
3 Pd 0.000 0.000 0.500
4 Pt 0.500 0.500 0.500

[15]
Below is a geometry-optimized ZnCd2Cl6 structure, with properties calculated at the PBE-GGA level.

Formation energy from raw total energies ... -1.038 eV/atom
Excess energy over the best structure of this formula in the dataset ... 0.88 kcal/mol of atoms
DOS at the Fermi energy ... 0.00 states/eV/cell
Total moment ... 0.000 μB per cell

Cell: 6.264 6.264 11.463 Å, 90.00 90.00 90.00°
Positions (direct):
1 Zn 0.000 0.000 0.000
2 Zn 0.500 0.500 0.500
3 Cd 0.000 0.000 0.334
4 Cd 0.000 0.000 0.666
5 Cd 0.500 0.500 0.166
6 Cd 0.500 0.500 0.834
7 Cl 0.188 0.188 0.157
8 Cl 0.188 0.188 0.843
9 Cl 0.202 0.202 0.500
10 Cl 0.298 0.702 0.000
11 Cl 0.312 0.688 0.343
12 Cl 0.312 0.688 0.657
13 Cl 0.688 0.312 0.343
14 Cl 0.688 0.312 0.657
15 Cl 0.702 0.298 0.000
16 Cl 0.798 0.798 0.500
17 Cl 0.812 0.812 0.157
18 Cl 0.812 0.812 0.843

[16]
Below is a geometry-optimized Pr3Ho13 structure, with properties calculated at the PBE-GGA level.

Excess energy over the best structure of this formula in the dataset ... 0.07 kcal/mol of atoms
Formation energy from the elements ... 19 meV per atom
DOS at the Fermi energy ... 18.81 states/eV/cell
Total moment ... 0.000 μB per cell

Cell: 10.050 7.123 7.123 Å, 89.85 90.00 90.00°
Positions (direct):
1 Pr 0.000 0.000 0.000
2 Pr 0.251 0.253 0.253
3 Pr 0.749 0.253 0.253
4 Ho 0.000 0.000 0.504
5 Ho 0.000 0.504 0.000
6 Ho 0.000 0.504 0.504
7 Ho 0.252 0.253 0.751
8 Ho 0.252 0.751 0.253
9 Ho 0.252 0.751 0.751
10 Ho 0.500 0.000 0.000
11 Ho 0.500 0.001 0.504
12 Ho 0.500 0.504 0.001
13 Ho 0.500 0.505 0.505
14 Ho 0.748 0.253 0.751
15 Ho 0.748 0.751 0.253
16 Ho 0.748 0.751 0.751

[17]
Below is a geometry-optimized Tb5In2Tc structure, with properties calculated at the PBE-GGA level.

Formation energy from the elements ... -274 meV per atom
DOS at the Fermi energy ... 12.29 states/eV/cell
Total moment ... 0.000 μB per cell

Cell: 6.675 12.698 5.038 Å, 90.00 90.00 90.00°
Positions (direct):
1 Tb 0.000 0.000 0.000
2 Tb 0.109 0.285 0.000
3 Tb 0.168 0.595 0.500
4 Tb 0.332 0.095 0.500
5 Tb 0.391 0.785 0.000
6 Tb 0.500 0.500 0.000
7 Tb 0.609 0.215 0.000
8 Tb 0.668 0.905 0.500
9 Tb 0.832 0.405 0.500
10 Tb 0.891 0.715 0.000
11 In 0.134 0.851 0.500
12 In 0.366 0.351 0.500
13 In 0.634 0.649 0.500
14 In 0.866 0.149 0.500
15 Tc 0.000 0.500 0.000
16 Tc 0.500 0.000 0.000

[18]
Below is a geometry-optimized ReP structure, with properties calculated at the PBE-GGA level.

Excess energy over the best structure of this formula in the dataset ... 13.33 kcal/mol of atoms
Formation energy from the elements ... 289 meV per atom
DOS at the Fermi energy ... 2.02 states/eV/cell
Total moment ... 0.000 μB per cell

Cell: 3.796 3.796 4.533 Å, 90.00 90.00 120.00°
Positions (direct):
1 Re 0.333 0.667 0.250
2 Re 0.667 0.333 0.750
3 P 0.000 0.000 0.000
4 P 0.000 0.000 0.500